SiTcP after structural relaxation, computed with PBE.

Summary:
As for the energy relative to the lowest polymorph listed for this composition: 0.483 eV per atom. As for the uncorrected formation energy: 0.20 eV per atom.

Cell: 6.4316 6.1629 2.8285 Å, 82.39 71.77 25.84°
With the nearest neighbours (Å) after each atom.
Element x y z (fractional)
1 Si 0.3283 0.3283 0.6717  2 Tc 2.50, 2 P 2.65
2 Tc 0.6618 0.6618 0.3382  2 P 2.37, 2 Si 2.50
3 P 0.0098 0.0098 0.9902  2 Tc 2.37, 2 Si 2.65